Compound: CsU4Ag3Se12
Source: the Alexandria database
Functional: GGA-PBE
Structure: relaxed

Lattice parameters (Å, degrees): 9.0242 9.0242 9.0242 109.47 109.47 109.47
Element x y z (fractional)
Cs1 0.0000 0.0000 0.0000
U1 0.0000 0.0000 0.5000
U2 0.0000 0.5000 0.0000
U3 0.5000 0.0000 0.0000
U4 0.5000 0.5000 0.5000
Ag1 0.0000 0.5000 0.5000
Ag2 0.5000 0.0000 0.5000
Ag3 0.5000 0.5000 0.0000
Se1 0.1266 0.8181 0.3085
Se2 0.1819 0.3085 0.4904
Se3 0.1819 0.6915 0.8734
Se4 0.3085 0.1266 0.8181
Se5 0.3085 0.4904 0.1819
Se6 0.4904 0.1819 0.3085
Se7 0.5096 0.8181 0.6915
Se8 0.6915 0.5096 0.8181
Se9 0.6915 0.8734 0.1819
Se10 0.8181 0.3085 0.1266
Se11 0.8181 0.6915 0.5096
Se12 0.8734 0.1819 0.6915

Summary:
* crystal system: cubic
* D(E_F): 0.618 states/eV/atom
* space-group type: Im-3
* energy relative to the elements, uncorrected: -0.78 eV/atom